--- a ---
Density functional theory data (GGA-PBE) for crystalline Cs2RbSbBr6 at its relaxed geometry.

Calculated values
Total magnetization ... 0.0 μB/cell
ρ ... 3600 kg/m³

a b c (Å): 8.3349 8.7737 12.0173
angles (deg): 90.00 90.35 90.00
Last column: nearest neighbours and their distance in Å.
Positions (direct):
Br1 0.6715 0.2724 0.5509  1 Sb 2.85
Br2 0.2774 0.6778 0.0463  1 Sb 2.84
Br3 0.7226 0.3222 0.9537  1 Sb 2.84
Br4 0.9063 0.5260 0.2256  1 Sb 2.84
Br5 0.5937 0.0260 0.2744  1 Sb 2.84
Br6 0.0937 0.4740 0.7744  1 Sb 2.84
Br7 0.2226 0.1778 0.4537  1 Sb 2.84
Br8 0.7774 0.8222 0.5463  1 Sb 2.84
Br9 0.8285 0.7724 0.9491  1 Sb 2.85
Br10 0.3285 0.7276 0.4491  1 Sb 2.85
Br11 0.4063 0.9740 0.7256  1 Sb 2.84
Br12 0.1715 0.2276 0.0509  1 Sb 2.85
Sb1 0.5000 0.0000 0.5000  6 Br 2.84-2.85
Sb2 0.0000 0.5000 0.0000  6 Br 2.84-2.85
Cs1 0.4774 0.4299 0.2515  6 Br 3.68-3.92
Cs2 0.5226 0.5701 0.7485  6 Br 3.68-3.92
Cs3 0.0226 0.9299 0.2485  6 Br 3.68-3.92
Cs4 0.9774 0.0701 0.7515  6 Br 3.68-3.92
Rb1 0.5000 0.0000 0.0000  6 Br 3.39-3.45
Rb2 0.0000 0.5000 0.5000  6 Br 3.39-3.45

--- b ---
Density functional theory data (GGA-PBE) for crystalline Cs2RbSbBr6 at its relaxed geometry.

Calculated values
Total magnetization ... 0.0 μB/cell
ρ ... 3502 kg/m³

a b c (Å): 8.6120 8.6120 8.6120
angles (deg): 60.00 60.00 60.00
Last column: nearest neighbours and their distance in Å.
Positions (direct):
Br1 0.2312 0.2312 0.7688  1 Sb 2.82
Br2 0.7688 0.2312 0.2312  1 Sb 2.82
Br3 0.2312 0.7688 0.2312  1 Sb 2.82
Br4 0.7688 0.2312 0.7688  1 Sb 2.82
Br5 0.2312 0.7688 0.7688  1 Sb 2.82
Br6 0.7688 0.7688 0.2312  1 Sb 2.82
Cs1 0.2500 0.2500 0.2500  12 Br 4.31
Cs2 0.7500 0.7500 0.7500  12 Br 4.31
Sb1 0.0000 0.0000 0.0000  6 Br 2.82
Rb1 0.5000 0.5000 0.5000  6 Br 3.27

Sorted by energy, starting with the most stable: a, b.